The following is a DFT calculation (GGA-PBE) of a relaxed Pr2CdGe3Rh4 crystal.

Computed properties:
Energy: -61.14 eV per formula unit
Volume: 19.3 A^3/atom
Spin magnetization: 0.0 μB/f.u.

abc: 4.244 4.244 10.715
angles: 90.00 90.00 90.00
Element x y z (fractional)
Pr  0.000  0.500  0.245
Pr  0.500  0.000  0.755
Cd  0.000  0.000  0.500
Ge  0.000  0.500  0.877
Ge  0.500  0.000  0.123
Ge  0.500  0.500  0.500
Rh  0.000  0.000  0.000
Rh  0.000  0.500  0.650
Rh  0.500  0.000  0.350
Rh  0.500  0.500  0.000


The following is a DFT calculation (GGA-PBE) of a relaxed PrSmCdGe crystal.

Computed properties:
Energy: -16.97 eV per formula unit
Volume: 26.3 A^3/atom
Spin magnetization: 0.0 μB/f.u.

abc: 5.296 5.296 5.296
angles: 60.00 60.00 60.00
Element x y z (fractional)
Pr  0.000  0.000  0.000
Sm  0.500  0.500  0.500
Cd  0.250  0.250  0.250
Ge  0.750  0.750  0.750


Q: Look up the spin magnetization of the first one.
A: 0.0 μB/f.u.